Here is crystalline Tb3Y6Tm2Mg at its relaxed geometry from Alexandria via LeMat-Bulk. Energies are from PBE-GGA.

Lattice parameters (Å, degrees): 6.140 6.140 11.664 95.07 95.07 120.01
Fractional coordinates of all 12 atoms:
Tb 0.000 0.000 0.000
Tb 0.334 0.666 0.000
Tb 0.666 0.334 0.000
Y 0.086 0.419 0.254
Y 0.249 0.249 0.747
Y 0.419 0.086 0.254
Y 0.581 0.914 0.746
Y 0.751 0.751 0.253
Y 0.914 0.581 0.746
Tm 0.166 0.834 0.500
Tm 0.834 0.166 0.500
Mg 0.500 0.500 0.500

Calculated values
Formation energy from the elements, meV/atom: 36
Size of the total moment, μB per cell: 0.000